[1]
An optimized crystal structure of PrTm2Ge2, computed with PBE-GGA.

```
PrTm2Ge2
1.0
-2.303 -2.388 3.200
-1.090 -4.038 -3.798
9.399 -2.459 4.928
Tm Pr Ge
4 2 4
Direct
0.250 0.766 0.876 Tm
0.750 0.708 0.458 Tm
0.250 0.292 0.542 Tm
0.750 0.234 0.124 Tm
0.250 0.796 0.222 Pr
0.750 0.204 0.778 Pr
0.250 0.841 0.618 Ge
0.750 0.159 0.382 Ge
0.250 0.298 0.976 Ge
0.750 0.702 0.024 Ge
```

[2]
An optimized crystal structure of PrTmGe2, computed with PBE-GGA.

```
PrTmGe2
1.0
4.647 0.000 0.000
2.323 4.024 0.000
2.323 1.341 5.434
Pr Ge Tm
1 2 1
Direct
0.500 0.500 0.500 Pr
0.739 0.739 0.783 Ge
0.261 0.261 0.217 Ge
0.000 0.000 0.000 Tm
```

[3]
An optimized crystal structure of Pr2Tm3Ge4, computed with PBE-GGA.

```
Pr2Tm3Ge4
1.0
-2.378 7.009 -1.782
-5.936 -5.118 -0.674
-1.937 1.256 7.524
Tm Pr Ge
6 4 8
Direct
0.245 0.246 0.667 Tm
0.745 0.246 0.833 Tm
0.000 0.500 0.500 Tm
0.500 0.500 0.000 Tm
0.255 0.754 0.167 Tm
0.755 0.754 0.333 Tm
0.569 0.194 0.322 Pr
0.931 0.806 0.822 Pr
0.069 0.194 0.178 Pr
0.431 0.806 0.678 Pr
0.651 0.916 0.041 Ge
0.865 0.493 0.132 Ge
0.151 0.916 0.459 Ge
0.849 0.084 0.541 Ge
0.635 0.507 0.632 Ge
0.365 0.493 0.368 Ge
0.135 0.507 0.868 Ge
0.349 0.084 0.959 Ge
```

[4]
An optimized crystal structure of Pr2TmGe, computed with PBE-GGA.

```
Pr2TmGe
1.0
-2.742 -1.626 1.594
0.473 -3.165 1.569
1.906 3.805 11.145
Tm Pr Ge
1 2 1
Direct
0.500 0.500 0.500 Tm
0.915 0.915 0.254 Pr
0.085 0.085 0.746 Pr
0.000 0.000 0.000 Ge
```

[5]
An optimized crystal structure of Pr4TmGe4, computed with PBE-GGA.

```
Pr4TmGe4
1.0
-6.182 -0.220 0.217
0.165 -8.278 -3.701
0.422 -3.691 8.274
Pr Ge Tm
8 8 2
Direct
0.865 0.577 0.798 Pr
0.365 0.702 0.077 Pr
0.635 0.077 0.298 Pr
0.135 0.798 0.423 Pr
0.365 0.298 0.923 Pr
0.635 0.923 0.702 Pr
0.865 0.423 0.202 Pr
0.135 0.202 0.577 Pr
0.353 0.380 0.240 Ge
0.353 0.620 0.760 Ge
0.853 0.260 0.880 Ge
0.853 0.740 0.120 Ge
0.147 0.120 0.260 Ge
0.647 0.240 0.620 Ge
0.647 0.760 0.380 Ge
0.147 0.880 0.740 Ge
0.000 0.000 0.000 Tm
0.500 0.500 0.500 Tm
```

[6]
An optimized crystal structure of PrTmGe2, computed with PBE-GGA.

```
PrTmGe2
1.0
4.028 0.000 0.000
0.000 5.880 0.000
0.000 0.000 8.103
Tm Ge Pr
2 4 2
Direct
0.500 0.631 0.818 Tm
0.500 0.369 0.318 Tm
0.500 0.112 0.961 Ge
0.500 0.888 0.461 Ge
0.000 0.606 0.540 Ge
0.000 0.394 0.040 Ge
0.000 0.868 0.181 Pr
0.000 0.132 0.681 Pr
```

[7]
An optimized crystal structure of Pr2TmGe, computed with PBE-GGA.

```
Pr2TmGe
1.0
-2.101 -1.040 4.205
-2.516 -3.462 -2.113
3.481 -3.120 0.968
Ge Pr Tm
1 2 1
Direct
0.500 0.500 0.500 Ge
0.000 0.500 0.000 Pr
0.000 0.000 0.500 Pr
0.500 0.000 0.000 Tm
```

[8]
An optimized crystal structure of PrTmGe2, computed with PBE-GGA.

```
PrTmGe2
1.0
4.109 0.000 -1.498
0.000 4.028 0.000
-0.188 0.000 5.873
Ge Tm Pr
2 1 1
Direct
0.165 0.500 0.869 Ge
0.998 0.000 0.535 Ge
0.447 0.500 0.432 Tm
0.722 0.000 0.982 Pr
```

[9]
An optimized crystal structure of Pr3TmGe4, computed with PBE-GGA.

```
Pr3TmGe4
1.0
4.274 0.000 0.000
0.000 6.351 -0.735
-2.137 -2.247 8.417
Ge Tm Pr
4 1 3
Direct
0.371 0.565 0.743 Ge
0.371 0.178 0.743 Ge
0.629 0.822 0.257 Ge
0.629 0.435 0.257 Ge
0.500 0.000 0.000 Tm
0.805 0.805 0.611 Pr
0.000 0.500 0.000 Pr
0.195 0.195 0.389 Pr
```

[10]
An optimized crystal structure of PrTm2Zn2Ge2, computed with PBE-GGA.

```
PrTm2Zn2Ge2
1.0
-1.387 2.362 -3.116
-1.812 -1.762 -3.291
-10.979 1.007 2.889
Zn Ge Pr Tm
2 2 1 2
Direct
0.606 0.606 0.183 Zn
0.394 0.394 0.817 Zn
0.262 0.262 0.213 Ge
0.738 0.738 0.787 Ge
0.000 0.000 0.000 Pr
0.125 0.125 0.625 Tm
0.875 0.875 0.375 Tm
```

[11]
An optimized crystal structure of PrTmZnGe, computed with PBE-GGA.

```
PrTmZnGe
1.0
-4.716 0.347 -1.902
-2.679 -4.229 -0.959
-4.015 -1.188 2.908
Pr Ge Tm Zn
1 1 1 1
Direct
0.500 0.500 0.500 Pr
0.250 0.250 0.250 Ge
0.000 0.000 0.000 Tm
0.750 0.750 0.750 Zn
```

[12]
An optimized crystal structure of PrUGe2, computed with PBE-GGA.

```
PrUGe2
1.0
4.220 0.000 0.000
2.110 3.654 0.000
2.110 1.218 6.847
Ge Pr U
2 1 1
Direct
0.741 0.741 0.778 Ge
0.259 0.259 0.222 Ge
0.500 0.500 0.500 Pr
0.000 0.000 0.000 U
```

Result set for DFT total energy: -0.38045, -0.38895, -0.40273, -0.32989, -0.38779, -0.39893, -0.36571, -0.39905, -0.39271, -0.29958, -0.31478, -0.49085 Ry/atom, one per record in the order listed.
Result set for total moment: 0.000, 0.000, 0.000, 0.000, 0.000, 0.000, 0.000, 0.000, 0.000, 0.000, 0.000, 0.988 μB/f.u., one per record in the order listed.